# 1
Material: FeTcRu2
Method: DFT, GGA-PBEsol
State: relaxed

For the energy above the most stable polymorph in this dataset, the calculation gives 0.009 eV/f.u. As for the spin magnetization: 0.00 μB/atom. For the electronic total energy, the calculation gives -10.033 eV/atom. The formation energy comes out at 0.4 eV per formula unit. Its space group is P4mm (99).

Unit cell a=2.634 b=2.634 c=7.304 alpha=90.00 beta=90.00 gamma=90.00
Sites, in units of the cell vectors:
Fe  0.500  0.500  0.750
Tc  0.000  0.000  0.516
Ru  0.500  0.500  0.247
Ru  0.000  0.000  0.988

# 2
Material: PtRh2Au
Method: DFT, GGA-PBEsol
State: relaxed

For the energy above the most stable polymorph in this dataset, the calculation gives 0.030 eV/f.u. As for the spin magnetization: 0.00 μB/atom. For the electronic total energy, the calculation gives -6.726 eV/atom. The formation energy comes out at 0.3 eV per formula unit. Its space group is R3m (160).

Unit cell a=2.741 b=2.741 c=9.181 alpha=81.41 beta=81.41 gamma=60.00
Sites, in units of the cell vectors:
Rh  0.002  0.002  0.993
Rh  0.746  0.746  0.763
Au  0.498  0.498  0.505
Pt  0.254  0.254  0.239

# 3
Material: Li2BeGaIr
Method: DFT, GGA-PBEsol
State: relaxed

As for the spin magnetization: 0.00 μB/atom. For the electronic total energy, the calculation gives -3.538 eV/atom. The formation energy comes out at 3.4 eV per formula unit. Its space group is P4/mmm (123).

Unit cell a=4.567 b=4.567 c=4.680 alpha=90.00 beta=90.00 gamma=90.00
Sites, in units of the cell vectors:
Li  0.000  0.500  0.000
Li  0.500  0.000  0.000
Ga  0.000  0.000  0.500
Be  0.500  0.500  0.500
Ir  0.000  0.000  0.000

# 4
Material: Ta2OsRu
Method: DFT, GGA-PBEsol
State: relaxed

For the energy above the most stable polymorph in this dataset, the calculation gives 0.778 eV/f.u. As for the spin magnetization: 0.00 μB/atom. For the electronic total energy, the calculation gives -11.950 eV/atom. The formation energy comes out at -0.3 eV per formula unit. Its space group is C2/m (12).

Unit cell a=2.800 b=5.078 c=5.078 alpha=113.05 beta=100.91 gamma=100.91
Sites, in units of the cell vectors:
Os  0.500  0.000  0.000
Ta  0.000  0.000  0.500
Ta  0.000  0.500  0.000
Ru  0.500  0.500  0.500

# 5
Material: Ba5Mg3
Method: DFT, GGA-PBEsol
State: relaxed

For the energy above the most stable polymorph in this dataset, the calculation gives 0.117 eV/f.u. As for the spin magnetization: 0.00 μB/atom. For the electronic total energy, the calculation gives -1.971 eV/atom. The formation energy comes out at 0.1 eV per formula unit. Its space group is I4/mcm (140).

Unit cell a=7.003 b=10.700 c=10.700 alpha=83.85 beta=70.90 gamma=70.90
Sites, in units of the cell vectors:
Mg  0.250  0.000  0.000
Mg  0.663  0.500  0.175
Mg  0.750  0.000  0.000
Mg  0.337  0.500  0.825
Mg  0.837  0.825  0.500
Mg  0.163  0.175  0.500
Ba  0.083  0.699  0.135
Ba  0.250  0.500  0.500
Ba  0.718  0.699  0.865
Ba  0.583  0.135  0.699
Ba  0.917  0.301  0.865
Ba  0.750  0.500  0.500
Ba  0.782  0.135  0.301
Ba  0.218  0.865  0.699
Ba  0.282  0.301  0.135
Ba  0.417  0.865  0.301

# 6
Material: SiHgTe2
Method: DFT, GGA-PBEsol
State: relaxed

As for the energy relative to the elements, uncorrected: 0.435 eV/atom. For the energy above the most stable polymorph in this dataset, the calculation gives 1.706 eV/f.u. As for the spin magnetization: 0.00 μB/atom. For the electronic total energy, the calculation gives -2.906 eV/atom. Its space group is F-43m (216).

Unit cell a=5.123 b=5.123 c=5.123 alpha=60.00 beta=60.00 gamma=60.00
Sites, in units of the cell vectors:
Te  0.000  0.000  0.000
Te  0.250  0.250  0.250
Si  0.750  0.750  0.750
Hg  0.500  0.500  0.500

# 7
Material: Al3Pt2
Method: DFT, GGA-PBEsol
State: relaxed

As for the spin magnetization: 0.00 μB/atom. For the electronic total energy, the calculation gives -6.236 eV/atom. The formation energy comes out at -5.0 eV per formula unit. Its space group is P-3m1 (164).

Unit cell a=4.201 b=4.201 c=5.179 alpha=90.00 beta=90.00 gamma=120.00
Sites, in units of the cell vectors:
Pt  0.333  0.667  0.164
Pt  0.667  0.333  0.836
Al  0.667  0.333  0.354
Al  0.333  0.667  0.646
Al  0.000  0.000  0.000

# 8
Material: LiMgN3
Method: DFT, GGA-PBEsol
State: relaxed

As for the energy relative to the elements, uncorrected: 1.579 eV/atom. As for the spin magnetization: 0.79 μB/atom. For the electronic total energy, the calculation gives -4.273 eV/atom. Its space group is Pm-3m (221).

Unit cell a=4.023 b=4.023 c=4.023 alpha=90.00 beta=90.00 gamma=90.00
Last column: magnetic moment on the atom in μB.
Sites, in units of the cell vectors:
N  0.000  0.500  0.000  0.93
N  0.000  0.000  0.500  0.93
N  0.500  0.000  0.000  0.93
Mg  0.000  0.000  0.000  0.03
Li  0.500  0.500  0.500  0.00

# 9
Material: BePbSe2
Method: DFT, GGA-PBEsol
State: relaxed

As for the energy relative to the elements, uncorrected: -0.335 eV/atom. For the energy above the most stable polymorph in this dataset, the calculation gives 0.000 eV/f.u. As for the spin magnetization: 0.00 μB/atom. For the electronic total energy, the calculation gives -4.260 eV/atom. Its space group is R-3m (166).

Unit cell a=3.754 b=3.758 c=7.089 alpha=74.62 beta=74.64 gamma=60.03
Sites, in units of the cell vectors:
Se  0.228  0.729  0.814
Se  0.772  0.271  0.186
Pb  0.000  0.500  0.500
Be  0.500  0.000  0.000

# 10
Material: K2NdNb5O15
Method: DFT, GGA-PBEsol
State: relaxed

As for the energy relative to the elements, uncorrected: -2.638 eV/atom. As for the spin magnetization: 0.00 μB/atom. For the electronic total energy, the calculation gives -8.737 eV/atom. Its space group is P4/mbm (127).

Unit cell a=3.932 b=12.664 c=12.664 alpha=90.00 beta=90.00 gamma=90.00
Sites, in units of the cell vectors:
O  0.000  0.501  0.158
O  0.000  0.941  0.868
O  0.000  0.499  0.842
O  0.000  0.059  0.132
O  0.500  0.188  0.080
O  0.500  0.580  0.688
O  0.000  0.658  0.001
O  0.000  0.632  0.559
O  0.500  0.920  0.188
O  0.000  0.999  0.658
O  0.500  0.420  0.312
O  0.500  0.312  0.580
O  0.500  0.688  0.420
O  0.000  0.217  0.717
O  0.000  0.868  0.059
O  0.000  0.559  0.368
O  0.000  0.158  0.499
O  0.000  0.717  0.783
O  0.000  0.441  0.632
O  0.000  0.342  0.999
O  0.000  0.368  0.441
O  0.000  0.132  0.941
O  0.000  0.283  0.217
O  0.500  0.500  0.000
O  0.500  0.080  0.812
O  0.500  0.000  0.500
O  0.500  0.812  0.920
O  0.000  0.001  0.342
O  0.000  0.842  0.501
O  0.000  0.783  0.283
Nb  0.000  0.423  0.287
Nb  0.000  0.077  0.787
Nb  0.000  0.923  0.213
Nb  0.000  0.287  0.577
Nb  0.000  0.577  0.713
Nb  0.000  0.787  0.923
Nb  0.000  0.500  0.000
Nb  0.000  0.213  0.077
Nb  0.000  0.713  0.423
Nb  0.000  0.000  0.500
K  0.500  0.330  0.830
K  0.500  0.830  0.670
K  0.500  0.670  0.170
K  0.500  0.170  0.330
Nd  0.500  0.000  0.000
Nd  0.500  0.500  0.500

# 11
Material: Rb2RePt
Method: DFT, GGA-PBEsol
State: relaxed

As for the spin magnetization: 1.25 μB/atom. For the electronic total energy, the calculation gives -3.620 eV/atom. The formation energy comes out at 7.9 eV per formula unit. Its space group is Fm-3m (225).

Unit cell a=5.533 b=5.533 c=5.533 alpha=60.00 beta=60.00 gamma=60.00
Last column: magnetic moment on the atom in μB.
Sites, in units of the cell vectors:
Rb  0.750  0.750  0.750  0.03
Rb  0.250  0.250  0.250  0.03
Pt  0.500  0.500  0.500  0.41
Re  0.000  0.000  0.000  3.67

# 12
Material: LaTi2Pd2
Method: DFT, GGA-PBEsol
State: relaxed

As for the spin magnetization: 0.00 μB/atom. For the electronic total energy, the calculation gives -7.207 eV/atom. The formation energy comes out at -2.1 eV per formula unit. Its space group is I4/mmm (139).

Unit cell a=4.403 b=4.403 c=6.039 alpha=111.38 beta=111.38 gamma=90.00
Sites, in units of the cell vectors:
Pd  0.628  0.628  0.256
Pd  0.372  0.372  0.744
Ti  0.250  0.750  0.500
Ti  0.750  0.250  0.500
La  0.000  0.000  0.000

# 13
Material: ZrCd2Hg
Method: DFT, GGA-PBEsol
State: relaxed

As for the spin magnetization: 0.00 μB/atom. For the electronic total energy, the calculation gives -3.066 eV/atom. The formation energy comes out at -0.2 eV per formula unit. Its space group is Cmmm (65).

Unit cell a=2.949 b=5.571 c=5.571 alpha=113.19 beta=90.00 gamma=90.00
Sites, in units of the cell vectors:
Hg  0.500  0.000  0.000
Cd  0.000  0.500  0.000
Cd  0.000  0.000  0.500
Zr  0.500  0.500  0.500

# 14
Material: Tm2Al9Ir3
Method: DFT, GGA-PBEsol
State: relaxed

As for the spin magnetization: 0.00 μB/atom. For the electronic total energy, the calculation gives -6.286 eV/atom. The formation energy comes out at -11.9 eV per formula unit. Its space group is Cmcm (63).

Unit cell a=7.466 b=7.466 c=9.344 alpha=90.00 beta=90.00 gamma=119.50
Sites, in units of the cell vectors:
Al  0.660  0.449  0.250
Al  0.333  0.333  0.053
Al  0.000  0.336  0.576
Al  0.664  0.000  0.076
Al  0.551  0.340  0.750
Al  0.336  0.000  0.924
Al  0.336  0.000  0.576
Al  0.000  0.664  0.076
Al  0.000  0.664  0.424
Al  0.667  0.667  0.947
Al  0.128  0.128  0.750
Al  0.667  0.667  0.553
Al  0.340  0.551  0.750
Al  0.872  0.872  0.250
Al  0.664  0.000  0.424
Al  0.000  0.336  0.924
Al  0.333  0.333  0.447
Al  0.449  0.660  0.250
Ir  0.000  0.000  0.500
Ir  0.000  0.000  0.000
Ir  0.328  0.672  0.500
Ir  0.672  0.328  0.000
Ir  0.328  0.672  0.000
Ir  0.672  0.328  0.500
Tm  0.328  0.005  0.250
Tm  0.672  0.995  0.750
Tm  0.005  0.328  0.250
Tm  0.995  0.672  0.750

# 15
Material: MnCdGa4Se8
Method: DFT, GGA-PBEsol
State: relaxed

As for the energy relative to the elements, uncorrected: -0.538 eV/atom. As for the spin magnetization: 0.36 μB/atom. For the electronic total energy, the calculation gives -4.475 eV/atom. Its space group is P-4 (81).

Unit cell a=5.648 b=5.648 c=10.797 alpha=90.00 beta=90.00 gamma=90.00
Last column: magnetic moment on the atom in μB.
Sites, in units of the cell vectors:
Se  0.254  0.768  0.367  0.03
Se  0.251  0.720  0.858  0.01
Se  0.232  0.254  0.633  0.03
Se  0.280  0.251  0.142  0.01
Se  0.768  0.746  0.633  0.03
Se  0.746  0.232  0.367  0.03
Se  0.749  0.280  0.858  0.01
Se  0.720  0.749  0.142  0.01
Ga  0.000  0.000  0.500  0.04
Ga  0.500  0.000  0.748  0.02
Ga  0.500  0.500  0.000  0.01
Ga  0.000  0.500  0.252  0.02
Mn  0.500  0.500  0.500  4.18
Cd  0.000  0.000  0.000  0.00

# 16
Material: Ag5Pb
Method: DFT, GGA-PBEsol
State: relaxed

For the energy above the most stable polymorph in this dataset, the calculation gives 0.000 eV/f.u. As for the spin magnetization: 0.00 μB/atom. For the electronic total energy, the calculation gives -3.369 eV/atom. The formation energy comes out at 0.3 eV per formula unit. Its space group is P-62m (189).

Unit cell a=4.796 b=5.124 c=5.124 alpha=120.00 beta=90.00 gamma=90.00
Sites, in units of the cell vectors:
Ag  0.500  0.333  0.667
Ag  0.500  0.667  0.333
Ag  0.000  0.000  0.648
Ag  0.000  0.648  0.000
Ag  0.000  0.352  0.352
Pb  0.500  0.000  0.000

# 17
Material: MgTcW3
Method: DFT, GGA-PBEsol
State: relaxed

As for the spin magnetization: 0.00 μB/atom. For the electronic total energy, the calculation gives -8.189 eV/atom. The formation energy comes out at 13.5 eV per formula unit. Its space group is Pm-3m (221).

Unit cell a=4.431 b=4.431 c=4.431 alpha=90.00 beta=90.00 gamma=90.00
Sites, in units of the cell vectors:
W  0.000  0.000  0.500
W  0.000  0.500  0.000
W  0.500  0.000  0.000
Mg  0.000  0.000  0.000
Tc  0.500  0.500  0.500

# 18
Material: Mn4ZnSe
Method: DFT, GGA-PBEsol
State: relaxed

As for the energy relative to the elements, uncorrected: 0.462 eV/atom. As for the spin magnetization: 0.00 μB/atom. For the electronic total energy, the calculation gives -6.951 eV/atom. Its space group is F-43m (216).

Unit cell a=4.697 b=4.697 c=4.697 alpha=60.00 beta=60.00 gamma=60.00
Sites, in units of the cell vectors:
Mn  0.625  0.625  0.625
Mn  0.625  0.625  0.126
Mn  0.126  0.625  0.625
Mn  0.625  0.126  0.625
Se  0.250  0.250  0.250
Zn  0.000  0.000  0.000

# 19
Material: DySiNi4
Method: DFT, GGA-PBEsol
State: relaxed

As for the energy relative to the elements, uncorrected: -0.654 eV/atom. As for the spin magnetization: 0.00 μB/atom. For the electronic total energy, the calculation gives -6.546 eV/atom. Its space group is Cmmm (65).

Unit cell a=3.902 b=4.733 c=4.733 alpha=116.59 beta=90.00 gamma=90.00
Sites, in units of the cell vectors:
Dy  0.000  0.000  0.000
Ni  0.500  0.500  0.000
Ni  0.000  0.340  0.660
Ni  0.500  0.000  0.500
Ni  0.000  0.660  0.340
Si  0.500  0.500  0.500

# 20
Material: LaYSi2
Method: DFT, GGA-PBEsol
State: relaxed

As for the energy relative to the elements, uncorrected: -0.007 eV/atom. For the energy above the most stable polymorph in this dataset, the calculation gives 3.244 eV/f.u. As for the spin magnetization: 0.00 μB/atom. For the electronic total energy, the calculation gives -5.922 eV/atom. Its space group is F-43m (216).

Unit cell a=4.945 b=4.945 c=4.945 alpha=60.00 beta=60.00 gamma=60.00
Sites, in units of the cell vectors:
Si  0.750  0.750  0.750
Si  0.000  0.000  0.000
La  0.500  0.500  0.500
Y  0.250  0.250  0.250